[1]
Material: AcSm5
Method: DFT, PBE-GGA
State: optimized geometry

Unit cell a=5.2050 b=15.6820 c=5.2178 alpha=90.00 beta=90.00 gamma=90.00
Space group Cmmm (No. 65)
Asymmetric unit:
Ac  0.0000  0.0000  0.0000 x2
Sm  0.0000  0.1690  0.5000 x4
Sm  0.0000  0.3296  0.0000 x4
Sm  0.0000  0.5000  0.5000 x2

Calculated total energy, eV/f.u.: -27.51
E_form, kJ/mol of atoms: 3.1
Calculated volume, Å³ per atom: 35.492


[2]
Material: PuHg2Cl
Method: DFT, PBE-GGA
State: optimized geometry

Unit cell a=3.5353 b=3.5353 c=31.6329 alpha=90.00 beta=90.00 gamma=120.00
Space group R-3m (No. 166, hexagonal axes)
Asymmetric unit:
Pu  0.0000  0.0000  0.0000 x3
Hg  0.0000  0.0000  0.0972 x6
Cl  0.0000  0.0000  0.5000 x3

Calculated total energy, eV/f.u.: -17.07
E_form (uncorrected), eV/atom: -0.0731
Calculated volume, Å³ per atom: 28.532


[3]
Material: VSnAu2
Method: DFT, PBE-GGA
State: optimized geometry

Unit cell a=2.9455 b=2.9455 c=31.8616 alpha=90.00 beta=90.00 gamma=120.00
Space group R-3m (No. 166, hexagonal axes)
Asymmetric unit:
V  0.0000  0.0000  0.0000 x3
Sn  0.0000  0.0000  0.5000 x3
Au  0.0000  0.0000  0.0813 x6

Calculated total energy, eV/f.u.: -17.79
E_form, kJ/mol of atoms: 45.5
Calculated volume, Å³ per atom: 19.949